Tb2TeH2I | PBE | relaxed

Calculated values
The calculation puts the density of states at the Fermi level at 1.8 states/eV/cell. The energy comes out at -26.26 eV/cell. As for the total magnetization: 0.00 μB per atom.

```
data_Tb2TeH2I
_chemical_formula_sum 'Tb2 Te1 H2 I1'
_symmetry_space_group_name_H-M 'P -3 m 1'
_symmetry_Int_Tables_number 164
_symmetry_space_group_name_Hall '-P 3 2"'
_cell_length_a 3.9384
_cell_length_b 3.9384
_cell_length_c 9.2663
_cell_angle_alpha 90.00
_cell_angle_beta 90.00
_cell_angle_gamma 120.00
loop_
_atom_site_label
_atom_site_fract_x
_atom_site_fract_y
_atom_site_fract_z
_atom_site_occupancy
Tb1 0.3333 0.6667 0.2251 1
Te1 0.0000 0.0000 0.0000 1
H1 0.3333 0.6667 0.7502 1
I1 0.0000 0.0000 0.5000 1
```